1.
Computed, not measured: a relaxed LaY3Sb3 crystal at the PBE-GGA level of DFT.

The structure in POSCAR format:
```
LaY3Sb3
1.0
5.731 0.000 0.000
0.000 9.166 0.000
0.000 -4.583 7.938
La Y Sb
2 6 6
Cartesian
1.433 4.583 2.646 La
4.299 0.000 5.292 La
1.433 3.558 5.959 Y
1.433 2.226 0.102 Y
1.433 7.965 1.877 Y
4.299 1.025 1.979 Y
4.299 2.357 7.836 Y
4.299 -3.382 6.061 Y
4.299 3.176 4.592 Sb
4.299 3.602 0.454 Sb
4.299 6.971 2.892 Sb
1.433 1.407 3.346 Sb
1.433 0.981 7.483 Sb
1.433 -2.389 5.046 Sb
```

Calculated values
DFT total energy = -6.1023 eV per atom
mass density = 6.140 g/cm3
crystal system = hexagonal
symmetry = P6_3/m, No. 176
excess energy over the best structure of this formula in the dataset = 180 meV/atom
N(E_F) = 0.788 states/eV per atom


2.
Computed, not measured: a relaxed PmHo2Zn9 crystal at the PBE-GGA level of DFT.

The structure in POSCAR format:
```
PmHo2Zn9
1.0
5.229 0.000 1.556
2.383 4.654 1.556
0.124 0.076 9.147
Pm Ho Zn
1 2 9
Cartesian
0.000 0.000 0.000 Pm
6.595 4.032 6.531 Ho
1.141 0.698 5.729 Ho
5.062 3.095 2.117 Zn
2.674 1.635 10.142 Zn
3.868 2.365 6.130 Zn
3.179 1.944 3.569 Zn
5.845 1.944 4.363 Zn
4.394 4.317 4.363 Zn
4.557 2.786 8.690 Zn
3.342 0.413 7.897 Zn
1.891 2.786 7.897 Zn
```

Calculated values
DFT total energy = -2.4354 eV per atom
mass density = 7.977 g/cm3
crystal system = trigonal
symmetry = R-3m, No. 166
N(E_F) = 0.587 states/eV per atom
energy relative to the elements = -0.321 eV/atom


3.
Computed, not measured: a relaxed LiTlH2Br crystal at the PBE-GGA level of DFT.

The structure in POSCAR format:
```
LiTlH2Br
1.0
8.623 0.000 0.280
0.000 3.787 0.000
-0.109 0.000 7.148
Li Tl H Br
2 2 4 2
Cartesian
1.150 0.000 3.977 Li
1.204 1.894 0.403 Li
5.790 0.000 2.007 Tl
5.735 1.894 5.581 Tl
2.761 0.000 6.476 H
2.816 1.894 2.902 H
3.486 0.000 6.719 H
3.541 1.894 3.145 H
0.491 0.000 1.679 Br
0.436 1.894 5.253 Br
```

Calculated values
DFT total energy = -2.9724 eV per atom
mass density = 4.170 g/cm3
crystal system = monoclinic
symmetry = Cm, No. 8
excess energy over the best structure of this formula in the dataset = 34 meV/atom
N(E_F) = 0.128 states/eV per atom


4.
Computed, not measured: a relaxed NdThSc2 crystal at the PBE-GGA level of DFT.

The structure in POSCAR format:
```
NdThSc2
1.0
-1.577 -3.250 0.992
1.690 0.775 5.223
-4.736 2.646 1.140
Sc Nd Th
2 1 1
Cartesian
-2.368 1.323 0.570 Sc
0.845 0.388 2.611 Sc
-0.788 -1.625 0.496 Nd
-2.312 0.085 3.677 Th
```

Calculated values
DFT total energy = -6.1579 eV per atom
mass density = 6.724 g/cm3
crystal system = tetragonal
symmetry = P4/mmm, No. 123
excess energy over the best structure of this formula in the dataset = 32 meV/atom
N(E_F) = 1.177 states/eV per atom
energy relative to the elements = 0.055 eV/atom


5.
Computed, not measured: a relaxed AsS2I crystal at the PBE-GGA level of DFT.

The structure in POSCAR format:
```
AsS2I
1.0
7.225 0.000 0.000
0.000 7.225 0.000
3.613 3.613 4.091
I As S
2 2 4
Cartesian
0.000 0.000 0.000 I
7.225 3.613 2.045 I
3.613 3.613 0.000 As
3.613 7.225 2.045 As
4.860 1.806 1.023 S
2.365 5.419 1.023 S
5.419 5.978 3.068 S
9.032 8.472 3.068 S
```

Calculated values
DFT total energy = -3.2573 eV per atom
mass density = 4.136 g/cm3
crystal system = tetragonal
symmetry = I-42d, No. 122
excess energy over the best structure of this formula in the dataset = 239 meV/atom
N(E_F) = 0.348 states/eV per atom


6.
Computed, not measured: a relaxed ZrAs2Os crystal at the PBE-GGA level of DFT.

The structure in POSCAR format:
```
ZrAs2Os
1.0
8.904 -0.017 -0.010
8.350 3.091 -0.010
8.350 1.488 2.710
As Os Zr
2 1 1
Cartesian
0.093 0.017 0.010 As
6.092 1.085 0.640 As
12.957 2.308 1.361 Os
19.265 3.432 2.023 Zr
```

Calculated values
DFT total energy = -7.2964 eV per atom
mass density = 9.519 g/cm3
crystal system = trigonal
symmetry = R3m, No. 160
excess energy over the best structure of this formula in the dataset = 359 meV/atom
N(E_F) = 0.778 states/eV per atom
energy relative to the elements = -0.027 eV/atom


7.
Computed, not measured: a relaxed YSbP2Cl crystal at the PBE-GGA level of DFT.

The structure in POSCAR format:
```
YSbP2Cl
1.0
-3.409 -1.693 3.811
4.099 -2.263 2.662
0.709 4.250 2.522
Y Sb P Cl
1 1 2 1
Cartesian
0.000 0.000 0.000 Y
0.699 0.147 4.498 Sb
2.050 -1.132 1.331 P
-1.705 -0.846 1.906 P
0.354 2.125 1.261 Cl
```

Calculated values
DFT total energy = -4.6026 eV per atom
mass density = 3.531 g/cm3
crystal system = tetragonal
symmetry = P4/mmm, No. 123
excess energy over the best structure of this formula in the dataset = 16 meV/atom
N(E_F) = 0.964 states/eV per atom


8.
Computed, not measured: a relaxed Dy4PtPb crystal at the PBE-GGA level of DFT.

The structure in POSCAR format:
```
Dy4PtPb
1.0
-0.283 1.609 -5.998
-5.349 -6.571 0.925
-2.216 6.773 3.925
Dy Pt Pb
8 2 2
Cartesian
-3.038 4.472 3.314 Dy
-5.498 1.011 -1.492 Dy
-5.433 2.069 2.062 Dy
-6.589 -1.152 1.238 Dy
-1.259 2.963 -2.387 Dy
-2.415 -0.259 -3.210 Dy
-2.351 0.799 0.344 Dy
-4.810 -2.662 -4.462 Dy
-0.077 0.407 -1.498 Pt
-7.771 1.403 0.350 Pt
-4.038 -1.781 -0.680 Pb
-3.810 3.592 -0.468 Pb
```

Calculated values
DFT total energy = -5.2889 eV per atom
mass density = 10.153 g/cm3
crystal system = monoclinic
symmetry = C2/c, No. 15
N(E_F) = 1.111 states/eV per atom
energy relative to the elements = -0.596 eV/atom


9.
Computed, not measured: a relaxed CuPbBr6 crystal at the PBE-GGA level of DFT.

The structure in POSCAR format:
```
CuPbBr6
1.0
6.506 -0.353 -0.267
2.946 6.150 0.145
2.911 2.213 6.200
Cu Pb Br
1 1 6
Cartesian
0.000 0.000 0.000 Cu
6.182 4.005 3.039 Pb
3.880 3.973 4.867 Br
7.438 1.846 4.557 Br
5.253 1.966 1.471 Br
4.926 6.164 1.521 Br
8.483 4.037 1.211 Br
7.110 6.044 4.607 Br
```

Calculated values
DFT total energy = -2.5123 eV per atom
mass density = 4.879 g/cm3
crystal system = triclinic
symmetry = P-1, No. 2
N(E_F) = 0.625 states/eV per atom


10.
Computed, not measured: a relaxed NaBeSiSb2 crystal at the PBE-GGA level of DFT.

The structure in POSCAR format:
```
NaBeSiSb2
1.0
5.367 0.000 0.000
0.000 4.547 0.000
0.000 0.000 5.367
Sb Si Be Na
2 1 1 1
Cartesian
0.000 0.000 2.684 Sb
2.684 0.000 0.000 Sb
2.684 2.273 2.684 Si
0.000 2.273 0.000 Be
0.000 0.000 0.000 Na
```

Calculated values
DFT total energy = -2.3638 eV per atom
mass density = 3.849 g/cm3
crystal system = tetragonal
symmetry = P4/mmm, No. 123
N(E_F) = 0.889 states/eV per atom


11.
Computed, not measured: a relaxed PmSmGaPt crystal at the PBE-GGA level of DFT.

The structure in POSCAR format:
```
PmSmGaPt
1.0
-1.826 2.191 4.267
-5.066 0.301 0.764
-2.226 -2.884 3.616
Ga Sm Pt Pm
1 1 1 1
Cartesian
-2.280 -0.098 2.162 Ga
-4.559 -0.196 4.323 Sm
-6.839 -0.293 6.485 Pt
0.000 0.000 0.000 Pm
```

Calculated values
DFT total energy = -5.4022 eV per atom
mass density = 9.729 g/cm3
crystal system = cubic
symmetry = F-43m, No. 216
excess energy over the best structure of this formula in the dataset = 102 meV/atom
N(E_F) = 0.764 states/eV per atom
energy relative to the elements = -0.768 eV/atom


12.
Computed, not measured: a relaxed Li2ZnPd crystal at the PBE-GGA level of DFT.

The structure in POSCAR format:
```
Li2ZnPd
1.0
-1.297 -3.912 1.247
4.201 0.954 0.035
-0.869 3.416 2.480
Li Zn Pd
2 1 1
Cartesian
2.438 3.488 2.509 Li
-1.148 -0.035 2.488 Li
0.770 1.304 1.252 Zn
1.392 -1.269 1.263 Pd
```

Calculated values
DFT total energy = -3.0052 eV per atom
mass density = 5.420 g/cm3
crystal system = orthorhombic
symmetry = F222, No. 22
N(E_F) = 0.320 states/eV per atom
energy relative to the elements = -0.432 eV/atom


13.
Computed, not measured: a relaxed SrIn2HgI8 crystal at the PBE-GGA level of DFT.

The structure in POSCAR format:
```
SrIn2HgI8
1.0
-7.394 1.674 -1.963
-4.429 -5.399 -3.545
-7.463 -4.973 8.248
Sr In Hg I
1 2 1 8
Cartesian
0.000 0.000 0.000 Sr
-4.854 -2.209 0.777 In
-14.432 -6.489 1.963 In
-9.643 -4.349 1.370 Hg
-5.688 -3.093 3.166 I
-7.023 -1.443 -0.832 I
-13.598 -5.605 -0.426 I
-10.823 -2.525 -2.559 I
-8.463 -6.173 5.299 I
-7.594 -5.383 -2.489 I
-11.692 -3.315 5.229 I
-12.263 -7.255 3.571 I
```

Calculated values
DFT total energy = -2.3770 eV per atom
mass density = 4.236 g/cm3
crystal system = trigonal
symmetry = R-3, No. 148
N(E_F) = 0.000 states/eV per atom


14.
Computed, not measured: a relaxed KBeCr crystal at the PBE-GGA level of DFT.

The structure in POSCAR format:
```
KBeCr
1.0
6.472 0.000 0.000
5.653 3.150 0.005
0.818 0.208 3.143
Cr K Be
1 1 1
Cartesian
5.290 1.371 1.902 Cr
8.300 2.155 1.067 K
11.478 2.982 0.185 Be
```

Calculated values
DFT total energy = -3.9659 eV per atom
mass density = 2.595 g/cm3
crystal system = tetragonal
symmetry = I4mm, No. 107
excess energy over the best structure of this formula in the dataset = 0 meV/atom
N(E_F) = 0.230 states/eV per atom
energy relative to the elements = 0.850 eV/atom


15.
Computed, not measured: a relaxed Pr3Hg5H12 crystal at the PBE-GGA level of DFT.

The structure in POSCAR format:
```
Pr3Hg5H12
1.0
11.458 0.000 0.000
-3.819 10.803 0.000
-3.819 -5.402 9.356
Pr Hg H
12 20 48
Cartesian
6.684 3.376 1.169 Pr
6.684 7.427 1.169 Pr
-0.955 4.726 5.847 Pr
0.955 -0.675 3.508 Pr
8.594 0.000 2.339 Pr
0.955 5.402 2.339 Pr
2.865 0.000 7.017 Pr
-4.774 5.402 7.017 Pr
2.865 6.077 5.847 Pr
4.774 0.675 3.508 Pr
-2.865 -2.026 8.186 Pr
-2.865 2.026 8.186 Pr
-0.955 2.701 2.339 Hg
-1.910 5.402 0.000 Hg
0.000 0.000 0.000 Hg
2.865 2.026 1.169 Hg
3.819 -2.701 4.678 Hg
3.819 5.402 0.000 Hg
-2.865 6.077 3.508 Hg
4.774 -3.376 8.186 Hg
4.774 4.726 3.508 Hg
0.955 -2.701 7.017 Hg
2.865 8.102 2.339 Hg
1.910 2.701 4.678 Hg
5.729 0.000 0.000 Hg
-1.910 -2.701 4.678 Hg
-0.955 0.675 5.847 Hg
-0.955 8.777 1.169 Hg
-3.819 2.701 4.678 Hg
6.684 -0.675 5.847 Hg
0.955 3.376 8.186 Hg
4.774 2.701 7.017 Hg
7.879 1.388 0.472 H
-0.241 3.804 3.712 H
8.625 2.421 2.285 H
4.743 1.932 1.438 H
1.318 4.354 6.598 H
7.792 5.408 1.920 H
-0.986 5.891 3.724 H
-2.834 8.871 1.438 H
0.592 6.449 6.598 H
5.576 5.395 1.920 H
5.489 2.986 3.240 H
5.489 9.415 0.472 H
-3.227 5.191 5.150 H
2.063 3.735 0.954 H
-3.579 7.817 3.240 H
1.669 -1.598 5.644 H
-0.592 0.836 2.392 H
2.063 7.061 0.966 H
4.743 8.382 2.285 H
-0.153 3.742 0.966 H
-2.502 6.238 6.963 H
2.896 4.912 3.724 H
5.137 5.612 5.150 H
3.973 -1.667 8.402 H
0.924 0.489 5.632 H
-1.318 -0.211 4.206 H
-0.153 7.068 0.954 H
-0.924 -2.980 7.070 H
6.321 -0.836 2.392 H
3.973 1.660 8.389 H
1.756 -1.660 8.389 H
2.150 7.000 3.712 H
4.411 4.565 6.963 H
7.398 -2.415 6.116 H
7.047 0.211 4.206 H
-1.669 -4.013 8.884 H
1.756 1.667 8.402 H
3.227 -1.047 2.757 H
-1.756 0.007 7.435 H
-1.669 2.415 6.116 H
6.653 -3.469 7.918 H
4.805 -0.489 5.632 H
-0.924 3.469 7.918 H
-3.973 -0.007 7.435 H
2.502 1.047 2.757 H
-4.805 2.980 7.070 H
4.060 1.598 5.644 H
-4.060 4.013 8.884 H
```

Calculated values
DFT total energy = -2.8118 eV per atom
mass density = 8.246 g/cm3
crystal system = cubic
symmetry = Ia-3d, No. 230
N(E_F) = 0.112 states/eV per atom


16.
Computed, not measured: a relaxed Li2LaN2 crystal at the PBE-GGA level of DFT.

The structure in POSCAR format:
```
Li2LaN2
1.0
6.752 0.000 0.000
0.000 6.752 0.000
0.000 0.000 3.724
N Li La
4 4 2
Cartesian
1.460 4.836 0.000 N
4.836 5.292 0.000 N
5.292 1.916 0.000 N
1.916 1.460 0.000 N
0.939 4.315 1.862 Li
4.315 5.813 1.862 Li
5.813 2.437 1.862 Li
2.437 0.939 1.862 Li
0.000 0.000 0.000 La
3.376 3.376 0.000 La
```

Calculated values
DFT total energy = -5.1008 eV per atom
mass density = 3.537 g/cm3
crystal system = tetragonal
symmetry = P4/mbm, No. 127
N(E_F) = 0.462 states/eV per atom


17.
Computed, not measured: a relaxed Dy2ScZn2Rh5 crystal at the PBE-GGA level of DFT.

The structure in POSCAR format:
```
Dy2ScZn2Rh5
1.0
-3.315 -1.380 0.393
2.761 -8.018 -4.867
2.733 -4.166 8.413
Dy Sc Zn Rh
4 2 4 10
Cartesian
2.327 -6.109 -1.822 Dy
3.166 -6.074 5.368 Dy
1.371 -2.747 1.917 Dy
4.122 -9.436 1.629 Dy
0.000 0.000 0.000 Sc
2.747 -6.092 1.773 Sc
2.049 -3.596 4.647 Zn
3.445 -8.588 -1.101 Zn
4.117 -8.653 4.330 Zn
1.377 -3.531 -0.784 Zn
-0.904 -2.612 -0.203 Rh
3.083 -10.951 4.142 Rh
0.714 -4.571 6.558 Rh
1.459 -8.120 0.390 Rh
1.465 -8.993 -2.618 Rh
0.720 -5.444 3.549 Rh
1.839 -8.191 3.339 Rh
0.340 -5.372 0.600 Rh
-0.277 -4.699 -2.237 Rh
-0.291 -2.773 4.403 Rh
```

Calculated values
DFT total energy = -6.1799 eV per atom
mass density = 9.765 g/cm3
crystal system = tetragonal
symmetry = P4/mbm, No. 127
N(E_F) = 0.439 states/eV per atom
energy relative to the elements = -0.696 eV/atom


18.
Computed, not measured: a relaxed Tl3CrCu2Cl9 crystal at the PBE-GGA level of DFT.

The structure in POSCAR format:
```
Tl3CrCu2Cl9
1.0
-5.720 1.053 3.812
0.407 -5.522 -4.208
3.390 -4.593 6.355
Tl Cr Cu Cl
3 1 2 9
Cartesian
0.624 -6.392 2.702 Tl
0.000 0.000 0.000 Tl
-2.547 -2.670 3.258 Tl
1.695 -2.296 3.178 Cr
-1.128 -4.017 -0.583 Cu
-0.795 -5.044 6.543 Cu
-2.485 -3.049 6.711 Cl
-2.277 -5.883 4.552 Cl
0.450 -3.590 4.755 Cl
-2.374 -5.472 1.205 Cl
0.353 -3.178 1.408 Cl
0.562 -6.012 -0.751 Cl
-2.860 0.526 1.906 Cl
0.203 -2.761 -2.104 Cl
-2.657 -2.234 -0.198 Cl
```

Calculated values
DFT total energy = -3.6112 eV per atom
mass density = 5.158 g/cm3
crystal system = trigonal
symmetry = P-3m1, No. 164
N(E_F) = 0.227 states/eV per atom


19.
Computed, not measured: a relaxed Zr5InAu crystal at the PBE-GGA level of DFT.

The structure in POSCAR format:
```
Zr5InAu
1.0
-2.890 5.677 4.109
-4.301 -4.739 4.064
2.877 -0.411 4.977
Zr In Au
10 2 2
Cartesian
-4.311 -0.398 8.140 Zr
-2.046 -3.025 4.470 Zr
-2.621 1.256 10.636 Zr
-2.553 2.748 5.341 Zr
-4.579 -2.689 6.163 Zr
0.265 3.216 6.986 Zr
-1.760 -2.220 7.808 Zr
-1.693 -0.729 2.513 Zr
-2.267 3.552 8.679 Zr
-0.002 0.926 5.010 Zr
-2.963 -0.274 5.328 In
-1.351 0.801 7.821 In
0.000 0.000 0.000 Au
1.439 -0.206 2.488 Au
```

Calculated values
DFT total energy = -7.0910 eV per atom
mass density = 8.109 g/cm3
crystal system = monoclinic
symmetry = C2/c, No. 15
N(E_F) = 1.156 states/eV per atom
energy relative to the elements = -0.126 eV/atom


20.
Computed, not measured: a relaxed Sb3SeI crystal at the PBE-GGA level of DFT.

The structure in POSCAR format:
```
Sb3SeI
1.0
-1.937 3.757 3.553
-2.472 -4.005 2.888
4.542 -0.578 3.087
I Sb Se
1 3 1
Cartesian
0.067 -0.413 4.764 I
-1.236 -2.003 1.444 Sb
2.271 -0.289 1.543 Sb
-0.968 1.879 1.776 Sb
0.000 0.000 0.000 Se
```

Calculated values
DFT total energy = -2.8597 eV per atom
mass density = 5.633 g/cm3
crystal system = cubic
symmetry = Pm-3m, No. 221
excess energy over the best structure of this formula in the dataset = 0 meV/atom
N(E_F) = 0.793 states/eV per atom